Density functional theory data (PBEsol) for a relaxed structure of KMgSe.

Energy: -2.57 eV per atom
D(E_F): 2.0 states/eV per cell
Symmetry: No. 216
Energy relative to the elements, uncorrected: -7.66 kcal/mol of atoms
ρ: 2.6 Mg/m³

abc: 5.034 5.034 5.034
angles: 60.00 60.00 60.00
Positions (direct):
Se1 0.000 0.000 0.000
K1 0.500 0.500 0.500
Mg1 0.250 0.250 0.250

=====

Density functional theory data (PBEsol) for a relaxed structure of Nd3Y.

Formation enthalpy at 0 K: -7 meV per atom
Energy: -5.59 eV per atom
D(E_F): 5.1 states/eV per cell
Symmetry: No. 187
E above lowest polymorph: 0.000 eV/atom
ρ: 6.7 Mg/m³

abc: 3.586 3.586 11.579
angles: 90.00 90.00 120.00
Positions (direct):
Nd1 0.000 0.000 0.254
Nd2 0.667 0.333 0.000
Nd3 0.000 0.000 0.746
Y1 0.333 0.667 0.500

=====

Density functional theory data (PBEsol) for a relaxed structure of RbNb2SiBr.

Energy: -5.12 eV per atom
D(E_F): 6.9 states/eV per cell
Symmetry: No. 123
E above lowest polymorph: 0.000 eV/atom
Energy relative to the elements, uncorrected: 21.67 kcal/mol of atoms
ρ: 3.8 Mg/m³

abc: 4.798 4.798 7.158
angles: 90.00 90.00 90.00
Site moments in Bohr magnetons follow the coordinates.
Positions (direct):
Br1 0.000 0.000 0.500  0.04
Si1 0.000 0.000 0.000  0.02
Rb1 0.500 0.500 0.500  0.01
Nb1 0.500 0.000 0.000  1.47
Nb2 0.000 0.500 0.000  1.47

=====

Density functional theory data (PBEsol) for a relaxed structure of CsTlBi3.

Formation enthalpy at 0 K: 1162 meV per atom
Energy: -2.12 eV per atom
D(E_F): 6.7 states/eV per cell
Symmetry: No. 221
ρ: 6.6 Mg/m³

abc: 6.222 6.222 6.222
angles: 90.00 90.00 90.00
Positions (direct):
Cs1 0.000 0.000 0.000
Bi1 0.000 0.500 0.000
Bi2 0.000 0.000 0.500
Bi3 0.500 0.000 0.000
Tl1 0.500 0.500 0.500

=====

Density functional theory data (PBEsol) for a relaxed structure of LaHf2MoC.

Formation enthalpy at 0 K: 2955 meV per atom
Energy: -6.60 eV per atom
D(E_F): 4.2 states/eV per cell
Symmetry: No. 123
ρ: 8.6 Mg/m³

abc: 4.581 5.031 5.031
angles: 90.00 90.00 90.00
Positions (direct):
La1 0.000 0.000 0.000
C1 0.500 0.500 0.500
Hf1 0.000 0.500 0.000
Hf2 0.000 0.000 0.500
Mo1 0.500 0.000 0.000

=====

Density functional theory data (PBEsol) for a relaxed structure of Hg5Pb.

Formation enthalpy at 0 K: 6 meV per atom
Energy: -1.13 eV per atom
D(E_F): 2.2 states/eV per cell
Symmetry: No. 123
E above lowest polymorph: 0.000 eV/atom
ρ: 13.7 Mg/m³

abc: 3.896 3.896 9.629
angles: 90.00 90.00 90.00
Positions (direct):
Hg1 0.500 0.500 0.340
Hg2 0.500 0.500 0.660
Hg3 0.000 0.000 0.820
Hg4 0.000 0.000 0.500
Hg5 0.000 0.000 0.180
Pb1 0.500 0.500 0.000

=====

Density functional theory data (PBEsol) for a relaxed structure of MnZnCo2.

Formation enthalpy at 0 K: 111 meV per atom
Energy: -6.59 eV per atom
D(E_F): 3.5 states/eV per cell
Symmetry: No. 216
ρ: 8.6 Mg/m³

abc: 4.020 4.020 4.020
angles: 60.00 60.00 60.00
Site moments in Bohr magnetons follow the coordinates.
Positions (direct):
Zn1 0.750 0.750 0.750  -0.03
Co1 0.000 0.000 0.000  1.33
Co2 0.250 0.250 0.250  1.70
Mn1 0.500 0.500 0.500  2.96

=====

Density functional theory data (PBEsol) for a relaxed structure of MgPbN2.

Energy: -4.81 eV per atom
D(E_F): 3.1 states/eV per cell
Symmetry: No. 225
Energy relative to the elements, uncorrected: 20.41 kcal/mol of atoms
ρ: 8.6 Mg/m³

abc: 4.142 4.142 4.142
angles: 60.00 60.00 60.00
Site moments in Bohr magnetons follow the coordinates.
Positions (direct):
Mg1 0.000 0.000 0.000  0.00
N1 0.750 0.750 0.750  0.21
N2 0.250 0.250 0.250  0.21
Pb1 0.500 0.500 0.500  0.00